[1]
{"formula": "AgPtF2", "functional": "PBE", "state": "optimized geometry", "lattice": [[2.8437, 0.0000, 0.0000], [-1.4219, 2.4627, 0.0000], [0.0000, 0.0000, 24.5327]], "species": ["Ag", "Ag", "Ag", "Pt", "Pt", "Pt", "F", "F", "F", "F", "F", "F"], "fractional_positions": [[0.0000, 0.0000, 0.0000], [0.3333, 0.6667, 0.6667], [0.6667, 0.3333, 0.3333], [0.0000, 0.0000, 0.5000], [0.3333, 0.6667, 0.1667], [0.6667, 0.3333, 0.8333], [0.0000, 0.0000, 0.0856], [0.0000, 0.0000, 0.9144], [0.3333, 0.6667, 0.5811], [0.3333, 0.6667, 0.7522], [0.6667, 0.3333, 0.2478], [0.6667, 0.3333, 0.4189]], "polymorph_energy_mev_per_atom": 440.4}

[2]
{"formula": "TcTeSe2", "functional": "PBE", "state": "optimized geometry", "lattice": [[3.0643, 0.0000, 0.0000], [0.0000, 3.0643, 0.0000], [0.0000, 0.0000, 9.2846]], "species": ["Tc", "Te", "Se", "Se"], "fractional_positions": [[0.0000, 0.0000, 0.0000], [0.5000, 0.5000, 0.2002], [0.0000, 0.0000, 0.5136], [0.5000, 0.5000, 0.8404]]}

[3]
{"formula": "PmDyGeSe", "functional": "PBE", "state": "optimized geometry", "lattice": [[4.1838, 0.0000, 0.0000], [-2.0919, 3.6233, 0.0000], [0.0000, 0.0000, 20.6475]], "species": ["Pm", "Pm", "Pm", "Dy", "Dy", "Dy", "Ge", "Ge", "Ge", "Se", "Se", "Se"], "fractional_positions": [[0.0000, 0.0000, 0.0000], [0.3333, 0.6667, 0.6667], [0.6667, 0.3333, 0.3333], [0.0000, 0.0000, 0.4926], [0.3333, 0.6667, 0.1593], [0.6667, 0.3333, 0.8260], [0.0000, 0.0000, 0.7484], [0.3333, 0.6667, 0.4150], [0.6667, 0.3333, 0.0817], [0.0000, 0.0000, 0.2434], [0.3333, 0.6667, 0.9101], [0.6667, 0.3333, 0.5767]]}

Number 1: total energy -3.50 eV/atom, uncorrected formation energy -0.343 eV per atom, magnetic moment 1.011 μB per formula unit. Number 2: total energy -5.01 eV/atom, uncorrected formation energy 0.113 eV per atom, magnetic moment 0.000 μB per formula unit. Number 3: total energy -5.76 eV/atom, uncorrected formation energy -1.393 eV per atom, magnetic moment 0.000 μB per formula unit.